Below is CaPr2VO6 after structural relaxation, with properties calculated at the GGA+U level.

Computed properties:
Its space group is P2_1/c. The total energy comes out at -7.7793 eV/atom.

a b c (Å): 5.6551 5.9551 8.0421
angles (deg): 90.00 89.93 90.00
Last column: nearest neighbours and their distance in Å.
Positions (direct):
V (0.5000, 0.0000, 0.5000)  6 O 1.93-2.04
O (0.2156, 0.1837, 0.4455)  1 V 1.99
O (0.1790, 0.2182, 0.0685)  1 V 2.04
Pr (0.5218, 0.5601, 0.7528)  6 O 2.39-2.66
O (0.6132, 0.0439, 0.2762)  1 V 1.93
O (0.7844, 0.8163, 0.5545)  1 V 1.99
O (0.1132, 0.4561, 0.7762)  1 V 1.93
Pr (0.4782, 0.4399, 0.2472)  6 O 2.39-2.66
O (0.8868, 0.5439, 0.2238)  1 V 1.93
Pr (0.0218, 0.9399, 0.2528)  6 O 2.39-2.66
O (0.7156, 0.3163, 0.9455)  1 V 1.99
Ca (0.5000, 0.0000, 0.0000)  6 O 2.29-2.33
O (0.2844, 0.6837, 0.0545)  1 V 1.99
O (0.3210, 0.7182, 0.4315)  1 V 2.04
V (0.0000, 0.5000, 0.0000)  6 O 1.93-2.04
O (0.3868, 0.9561, 0.7238)  1 V 1.93
Pr (0.9782, 0.0601, 0.7472)  6 O 2.39-2.66
Ca (0.0000, 0.5000, 0.5000)  6 O 2.29-2.33
O (0.6790, 0.2818, 0.5685)  1 V 2.04
O (0.8210, 0.7818, 0.9315)  1 V 2.04